The following is a PBE calculation of an optimized crystal structure of Sm2Si4Ru5, from Alexandria via LeMat-Bulk.

## Properties
Calculated total energy = -7.79 eV/atom
E_form (uncorrected) = -0.746 eV per atom
Total moment = 0.000 μB/atom

Unit cell a=5.8527 b=5.8237 c=7.0676 alpha=77.99 beta=65.54 gamma=59.84
Closest atoms and distances in Å follow each position.
Sites, in units of the cell vectors:
1 Sm 0.8695 0.0000 0.2609  10 Ru 3.29-3.37, 8 Si 3.29-3.52, 1 Sm 3.36
2 Sm 0.1305 0.0000 0.7391  10 Ru 3.29-3.37, 8 Si 3.29-3.52, 1 Sm 3.36
3 Si 0.4839 0.3004 0.7318  5 Ru 2.29-2.48
4 Si 0.5161 0.6996 0.2682  5 Ru 2.29-2.48
5 Si 0.2157 0.3004 0.2682  5 Ru 2.29-2.48
6 Si 0.7843 0.6996 0.7318  5 Ru 2.29-2.48
7 Ru 0.5000 0.0000 0.0000  4 Si 2.29
8 Ru 0.0000 0.5000 0.0000  4 Si 2.48
9 Ru 0.5000 0.5000 0.0000  4 Si 2.48
10 Ru 0.2500 0.5000 0.5000  4 Si 2.32
11 Ru 0.7500 0.5000 0.5000  4 Si 2.32



The following is a PBE calculation of an optimized crystal structure of MnRh3Br, from Alexandria via LeMat-Bulk.

## Properties
Calculated total energy = -5.48 eV/atom
E_form (uncorrected) = 1.101 eV per atom
Total moment = 0.000 μB/atom

Unit cell a=4.5156 b=4.5156 c=4.5156 alpha=90.00 beta=90.00 gamma=90.00
Closest atoms and distances in Å follow each position.
Sites, in units of the cell vectors:
1 Mn 0.0000 0.0000 0.0000  6 Rh 2.26
2 Rh 0.0000 0.5000 0.0000  2 Mn 2.26
3 Rh 0.0000 0.0000 0.5000  2 Mn 2.26
4 Rh 0.5000 0.0000 0.0000  2 Mn 2.26
5 Br 0.5000 0.5000 0.5000  12 Rh 3.19



The following is a PBE calculation of an optimized crystal structure of Pm3Dy3Y5, from Alexandria via LeMat-Bulk.

## Properties
Energy relative to the elements = 0.3437 eV per atom
Calculated total energy = -5.15 eV/atom
Total moment = 0.000 μB/atom

Unit cell a=3.4865 b=11.1245 c=11.1245 alpha=120.00 beta=90.00 gamma=90.00
Closest atoms and distances in Å follow each position.
Sites, in units of the cell vectors:
1 Pm 0.5000 0.8384 0.8384  4 Pm 3.11-3.49, 2 Dy 3.21, 2 Y 3.31
2 Pm 0.5000 0.0000 0.1616  4 Pm 3.11-3.49, 2 Dy 3.21, 2 Y 3.31
3 Pm 0.5000 0.1616 0.0000  4 Pm 3.11-3.49, 2 Dy 3.21, 2 Y 3.31
4 Dy 0.0000 0.5962 0.5962  2 Pm 3.21, 2 Y 3.31, 2 Dy 3.49
5 Dy 0.0000 0.4038 0.0000  2 Pm 3.21, 2 Y 3.31, 2 Dy 3.49
6 Dy 0.0000 0.0000 0.4038  2 Pm 3.21, 2 Y 3.31, 2 Dy 3.49
7 Y 0.5000 0.3333 0.6667  5 Y 3.49-3.65, 6 Dy 3.81
8 Y 0.5000 0.6667 0.3333  5 Y 3.49-3.65, 6 Dy 3.81
9 Y 0.5000 0.3437 0.3437  2 Dy 3.31, 2 Pm 3.31, 4 Y 3.49-3.65
10 Y 0.5000 0.0000 0.6563  2 Dy 3.31, 2 Pm 3.31, 4 Y 3.49-3.65
11 Y 0.5000 0.6563 0.0000  2 Dy 3.31, 2 Pm 3.31, 4 Y 3.49-3.65



The following is a PBE calculation of an optimized crystal structure of NdSm4Au5, from Alexandria via LeMat-Bulk.

## Properties
Energy relative to the elements = -0.7927 eV per atom
Calculated total energy = -4.80 eV/atom
Total moment = 0.000 μB/atom

Unit cell a=3.6608 b=3.6608 c=18.6464 alpha=90.00 beta=90.00 gamma=90.00
Closest atoms and distances in Å follow each position.
Sites, in units of the cell vectors:
1 Nd 0.0000 0.0000 0.0000  8 Au 3.23
2 Sm 0.0000 0.0000 0.2013  8 Au 3.16-3.19
3 Sm 0.0000 0.0000 0.4004  8 Au 3.19
4 Sm 0.0000 0.0000 0.5996  8 Au 3.19
5 Sm 0.0000 0.0000 0.7987  8 Au 3.16-3.19
6 Au 0.5000 0.5000 0.1037  4 Sm 3.16, 4 Nd 3.23
7 Au 0.5000 0.5000 0.3008  8 Sm 3.19
8 Au 0.5000 0.5000 0.5000  8 Sm 3.19
9 Au 0.5000 0.5000 0.6992  8 Sm 3.19
10 Au 0.5000 0.5000 0.8963  4 Sm 3.16, 4 Nd 3.23



The following is a PBE calculation of an optimized crystal structure of NaPuMnSe3, from Alexandria via LeMat-Bulk.

## Properties
Calculated total energy = -6.91 eV/atom
E_form (uncorrected) = -1.031 eV per atom
Total moment = 0.015 μB/atom

Unit cell a=4.1812 b=8.3657 c=9.7726 alpha=103.50 beta=90.00 gamma=90.00
Closest atoms and distances in Å follow each position.
Sites, in units of the cell vectors:
1 Na 0.7500 0.8127 0.8083  5 Se 3.05-3.17
2 Na 0.2500 0.1873 0.1917  5 Se 3.05-3.17
3 Pu 0.2500 0.6740 0.1550  6 Se 2.87-2.97
4 Pu 0.7500 0.3260 0.8450  6 Se 2.87-2.97
5 Mn 0.2500 0.0852 0.6031  4 Se 2.48-2.60
6 Mn 0.7500 0.9148 0.3969  4 Se 2.48-2.60
7 Se 0.2500 0.7783 0.4673  3 Mn 2.55-2.60
8 Se 0.7500 0.9105 0.1418  1 Mn 2.48
9 Se 0.7500 0.4371 0.1491  3 Pu 2.87-2.90, 2 Na 3.05
10 Se 0.7500 0.2217 0.5327  3 Mn 2.55-2.60
11 Se 0.2500 0.5629 0.8509  3 Pu 2.87-2.90, 2 Na 3.05
12 Se 0.2500 0.0895 0.8582  1 Mn 2.48



The following is a PBE calculation of an optimized crystal structure of Dy4GaSeS2, from Alexandria via LeMat-Bulk.

## Properties
Calculated total energy = -5.74 eV/atom
E_form (uncorrected) = -1.591 eV per atom
Total moment = 0.000 μB/atom

Unit cell a=3.9401 b=7.0001 c=7.0453 alpha=71.23 beta=90.00 gamma=90.00
Closest atoms and distances in Å follow each position.
Sites, in units of the cell vectors:
1 Dy 0.0000 0.7590 0.7383  3 S 2.78-2.87, 1 Ga 2.84, 2 Se 2.90
2 Dy 0.0000 0.2410 0.2617  3 S 2.78-2.87, 1 Ga 2.84, 2 Se 2.90
3 Dy 0.5000 0.7574 0.2489  3 S 2.81-2.82, 2 Ga 2.86, 1 Se 2.89
4 Dy 0.5000 0.2426 0.7511  3 S 2.81-2.82, 2 Ga 2.86, 1 Se 2.89
5 Ga 0.0000 0.5000 0.5000  6 Dy 2.84-2.86
6 Se 0.5000 0.5000 0.0000  6 Dy 2.89-2.90
7 S 0.0000 0.0000 0.0000  6 Dy 2.81-2.87
8 S 0.5000 0.0000 0.5000  6 Dy 2.78-2.82



The following is a PBE calculation of an optimized crystal structure of SrMg2Cu, from Alexandria via LeMat-Bulk.

## Properties
Energy relative to the elements = 0.0648 eV per atom
Calculated total energy = -2.18 eV/atom
Total moment = 0.000 μB/atom

Unit cell a=4.6308 b=4.2735 c=5.7935 alpha=72.00 beta=90.00 gamma=90.00
Closest atoms and distances in Å follow each position.
Sites, in units of the cell vectors:
1 Cu 0.5000 0.7500 0.7500  4 Mg 2.73, 2 Sr 3.02
2 Mg 0.0000 0.8974 0.9454  2 Cu 2.73, 1 Mg 2.91
3 Mg 0.0000 0.6026 0.5546  2 Cu 2.73, 1 Mg 2.91
4 Sr 0.5000 0.2500 0.2500  2 Cu 3.02



The following is a PBE calculation of an optimized crystal structure of NbVS2N, from Alexandria via LeMat-Bulk.

## Properties
Calculated total energy = -7.11 eV/atom
E_form (uncorrected) = 0.044 eV per atom
Total moment = 0.319 μB/atom

Unit cell a=4.6774 b=4.6774 c=3.5759 alpha=90.00 beta=90.00 gamma=90.00
Closest atoms and distances in Å follow each position.
Sites, in units of the cell vectors:
1 Nb 0.5000 0.5000 0.5000  8 S 2.94
2 N 0.0000 0.0000 0.5000  2 V 1.79
3 S 0.0000 0.5000 0.0000  2 V 2.34
4 S 0.5000 0.0000 0.0000  2 V 2.34
5 V 0.0000 0.0000 0.0000  2 N 1.79



The following is a PBE calculation of an optimized crystal structure of In2AgMo, from Alexandria via LeMat-Bulk.

## Properties
Energy relative to the elements = 0.4178 eV per atom
Calculated total energy = -4.37 eV/atom
Total moment = 0.000 μB/atom

Unit cell a=5.2394 b=5.2394 c=5.2394 alpha=132.31 beta=132.31 gamma=69.74
Closest atoms and distances in Å follow each position.
Sites, in units of the cell vectors:
1 Ag 0.7500 0.2500 0.5000  4 Mo 3.00, 8 In 3.02
2 In 0.0000 0.0000 0.0000  4 In 3.00, 4 Mo 3.02, 4 Ag 3.02
3 In 0.5000 0.5000 0.0000  4 In 3.00, 4 Mo 3.02, 4 Ag 3.02
4 Mo 0.2500 0.7500 0.5000  4 Ag 3.00, 8 In 3.02



The following is a PBE calculation of an optimized crystal structure of CrIn2SnPb, from Alexandria via LeMat-Bulk.

## Properties
Energy relative to the elements = 0.4608 eV per atom
Calculated total energy = -4.10 eV/atom
Total moment = 0.481 μB/atom

Unit cell a=5.2195 b=5.2218 c=5.2195 alpha=90.00 beta=90.00 gamma=90.00
Closest atoms and distances in Å follow each position.
Sites, in units of the cell vectors:
1 Pb 0.0000 0.5000 0.0000  2 Cr 2.61
2 Cr 0.0000 0.0000 0.0000  4 In 2.61, 2 Pb 2.61
3 Sn 0.5000 0.5000 0.5000  4 Pb 3.69, 8 In 3.69
4 In 0.0000 0.0000 0.5000  2 Cr 2.61
5 In 0.5000 0.0000 0.0000  2 Cr 2.61



The following is a PBE calculation of an optimized crystal structure of TmAs4Pd6, from Alexandria via LeMat-Bulk.

## Properties
Energy relative to the elements = -0.5500 eV per atom
Calculated total energy = -5.48 eV/atom
Total moment = 0.000 μB/atom

Unit cell a=3.9564 b=7.4353 c=7.4353 alpha=120.00 beta=90.00 gamma=90.00
Closest atoms and distances in Å follow each position.
Sites, in units of the cell vectors:
1 Tm 0.0000 0.0000 0.0000  6 As 3.11, 6 Pd 3.19
2 As 0.5000 0.8138 0.6276  6 Pd 2.45-2.68
3 As 0.5000 0.3724 0.1862  6 Pd 2.45-2.68
4 As 0.5000 0.8138 0.1862  6 Pd 2.45-2.68
5 As 0.0000 0.3333 0.6667  9 Pd 2.60-2.66
6 Pd 0.0000 0.5351 0.0702  5 As 2.60-2.68
7 Pd 0.5000 0.6106 0.8053  4 As 2.45-2.66
8 Pd 0.0000 0.5351 0.4649  5 As 2.60-2.68
9 Pd 0.0000 0.9298 0.4649  5 As 2.60-2.68
10 Pd 0.5000 0.1947 0.8053  4 As 2.45-2.66
11 Pd 0.5000 0.1947 0.3894  4 As 2.45-2.66



The following is a PBE calculation of an optimized crystal structure of Ca3Tl2Ag3, from Alexandria via LeMat-Bulk.

## Properties
Energy relative to the elements = -0.2063 eV per atom
Calculated total energy = -2.62 eV/atom
Total moment = 0.000 μB/atom

Unit cell a=6.2669 b=8.9617 c=8.9617 alpha=120.00 beta=90.00 gamma=90.00
Closest atoms and distances in Å follow each position.
Sites, in units of the cell vectors:
1 Ca 0.7500 0.2771 0.0000  5 Ag 3.06-3.27
2 Ca 0.7500 0.7229 0.7229  5 Ag 3.06-3.27
3 Ca 0.7500 0.0000 0.2771  5 Ag 3.06-3.27
4 Ca 0.2500 0.7229 0.0000  5 Ag 3.06-3.27
5 Ca 0.2500 0.2771 0.2771  5 Ag 3.06-3.27
6 Ca 0.2500 0.0000 0.7229  5 Ag 3.06-3.27
7 Tl 0.0000 0.3333 0.6667  2 Tl 3.13, 6 Ag 3.20
8 Tl 0.5000 0.6667 0.3333  2 Tl 3.13, 6 Ag 3.20
9 Tl 0.0000 0.6667 0.3333  2 Tl 3.13, 6 Ag 3.20
10 Tl 0.5000 0.3333 0.6667  2 Tl 3.13, 6 Ag 3.20
11 Ag 0.7500 0.6180 0.0000  5 Ca 3.06-3.27, 4 Tl 3.20
12 Ag 0.7500 0.3820 0.3820  5 Ca 3.06-3.27, 4 Tl 3.20
13 Ag 0.7500 0.0000 0.6180  5 Ca 3.06-3.27, 4 Tl 3.20
14 Ag 0.2500 0.3820 0.0000  5 Ca 3.06-3.27, 4 Tl 3.20
15 Ag 0.2500 0.6180 0.6180  5 Ca 3.06-3.27, 4 Tl 3.20
16 Ag 0.2500 0.0000 0.3820  5 Ca 3.06-3.27, 4 Tl 3.20